Density functional theory data (PBE+U) for a geometry-optimized HfCoPbO2 structure.

extended XYZ file:
```
5
Lattice="4.134 0.000 0.000 0.000 4.766 0.000 0.000 0.000 4.134" Properties=species:S:1:pos:R:3 pbc="T T T"
Pb 2.067 2.383 2.067
Co 0.000 0.000 0.000
Hf 0.000 2.383 0.000
O 0.000 0.000 2.067
O 2.067 0.000 0.000
```

Output
total magnetization: 2.0 μB/f.u.
raw total energy: -5.7423 eV per atom
N(E_F): 0.403 states/eV per atom